This record from Alexandria via LeMat-Bulk describes a relaxed structure of AcNd2SmTm5. The functional is GGA-PBE.

Formation energy   2.3 eV per formula unit
Spin magnetization   0.0 Bohr magnetons per cell

Structure (CIF):
```
data_AcNd2SmTm5
_cell_length_a 8.7945
_cell_length_b 8.7945
_cell_length_c 15.5704
_cell_angle_alpha 90.00
_cell_angle_beta 90.00
_cell_angle_gamma 90.00
_symmetry_space_group_name_H-M 'I 4/m c m'
_symmetry_Int_Tables_number 140
_symmetry_space_group_name_Hall '-I 4 2c'
loop_
_atom_site_label
_atom_site_type_symbol
_atom_site_fract_x
_atom_site_fract_y
_atom_site_fract_z
Ac1 Ac 0.0000 0.0000 0.2500
Nd1 Nd 0.1169 0.3831 0.0000
Sm1 Sm 0.0000 0.5000 0.2500
Tm1 Tm 0.0000 0.0000 0.0000
Tm2 Tm 0.2073 0.2927 0.3671
```